Record 1
The following is a GGA-PBE calculation of a relaxed structure of YHoTh2As4, from Alexandria via LeMat-Bulk.

The structure in POSCAR format:
```
YHoTh2As4
1.0
4.198 0.000 0.000
0.000 7.208 -0.116
0.000 2.562 6.805
Y Ho Th As
1 1 2 4
direct
0.500 0.500 0.000
0.000 0.500 0.500
0.000 0.000 0.000
0.500 0.000 0.500
0.000 0.742 0.752
0.000 0.258 0.248
0.500 0.741 0.254
0.500 0.259 0.746
```

Summary:
Its electronic total energy is -7.031 eV/atom.

=====

Record 2
The following is a GGA-PBE calculation of a relaxed structure of HoTh2ZrAs4, from Alexandria via LeMat-Bulk.

The structure in POSCAR format:
```
HoTh2ZrAs4
1.0
4.125 0.000 0.000
0.000 7.160 0.133
0.000 -2.493 6.638
Ho Th Zr As
1 2 1 4
direct
0.500 0.500 0.000
0.500 0.000 0.500
0.000 0.500 0.500
0.000 0.000 0.000
0.500 0.239 0.231
0.500 0.761 0.769
0.000 0.250 0.765
0.000 0.750 0.235
```

Summary:
Its electronic total energy is -7.161 eV/atom.

=====

Record 3
The following is a GGA-PBE calculation of a relaxed structure of HoTi2As4, from Alexandria via LeMat-Bulk.

The structure in POSCAR format:
```
HoTi2As4
1.0
-2.055 2.647 1.695
-1.895 -5.678 2.411
8.520 0.927 8.880
Ho Ti As
2 4 8
direct
0.612 0.224 0.750
0.388 0.776 0.250
0.132 0.263 0.443
0.868 0.737 0.943
0.132 0.263 0.057
0.868 0.737 0.557
0.759 0.519 0.123
0.759 0.519 0.377
0.241 0.481 0.877
0.241 0.481 0.623
0.936 0.871 0.750
0.064 0.129 0.250
0.500 0.000 0.000
0.500 0.000 0.500
```

Summary:
Its electronic total energy is -6.366 eV/atom.